# 1
Density functional theory data (PBE) for a geometry-optimized ZnNiSnS4 structure.

Lattice parameters (Å, degrees): 7.287 7.287 7.287 120.65 119.17 90.16
Fractional positions:
1 Zn 0.392 0.142 0.250
2 Zn 0.608 0.858 0.750
3 Ni 0.000 0.000 0.500
4 Ni 0.000 0.500 0.000
5 Sn 0.000 0.500 0.500
6 Sn 0.500 0.500 0.000
7 S 0.216 0.746 0.469
8 S 0.223 0.254 0.969
9 S 0.236 0.236 0.500
10 S 0.236 0.736 0.000
11 S 0.764 0.264 0.000
12 S 0.764 0.764 0.500
13 S 0.777 0.746 0.031
14 S 0.784 0.254 0.531

V   19.567 Å³/atom
SG   Imma
Energy   -60.81 eV for the cell shown
Theoretical density   4.50 g cm⁻³



# 2
Density functional theory data (PBE) for a geometry-optimized SrOsAu2 structure.

Lattice parameters (Å, degrees): 9.347 9.347 9.347 148.47 148.47 45.20
Fractional positions:
1 Sr 0.000 0.000 0.000
2 Sr 0.750 0.250 0.500
3 Os 0.250 0.750 0.500
4 Os 0.500 0.500 0.000
5 Au 0.254 0.625 0.129
6 Au 0.375 0.504 0.629
7 Au 0.496 0.125 0.871
8 Au 0.875 0.746 0.371

Energy of formation   0.46 eV per atom
V   27.833 Å³/atom
SG   I-42d
Energy relative to the lowest polymorph listed for this composition   0.128 eV per atom
Theoretical density   10.02 g cm⁻³



What did the first record say?
Density functional theory data (PBE) for a geometry-optimized ZnNiSnS4 structure.

Lattice parameters (Å, degrees): 7.287 7.287 7.287 120.65 119.17 90.16
Fractional positions:
1 Zn 0.392 0.142 0.250
2 Zn 0.608 0.858 0.750
3 Ni 0.000 0.000 0.500
4 Ni 0.000 0.500 0.000
5 Sn 0.000 0.500 0.500
6 Sn 0.500 0.500 0.000
7 S 0.216 0.746 0.469
8 S 0.223 0.254 0.969
9 S 0.236 0.236 0.500
10 S 0.236 0.736 0.000
11 S 0.764 0.264 0.000
12 S 0.764 0.764 0.500
13 S 0.777 0.746 0.031
14 S 0.784 0.254 0.531

V   19.567 Å³/atom
SG   Imma
Energy   -60.81 eV for the cell shown
Theoretical density   4.50 g cm⁻³



Which of these has the highest theoretical density?
SrOsAu2



Among the records above, which one has the highest theoretical density?
SrOsAu2



Which value of V does entry 2 give?
27.833 Å³/atom